# 1
# SmMgSc

An optimized crystal structure of SmMgSc (PBE-GGA, OQMD).

Unit cell a=5.0861 b=5.0861 c=5.0861 alpha=60.00 beta=60.00 gamma=60.00
Positions (direct):
1 Sm 0.0000 0.0000 0.0000
2 Mg 0.7500 0.7500 0.7500
3 Sc 0.5000 0.5000 0.5000

As for the crystal system: cubic. The calculation puts the calculated total energy at -3.735 eV per atom. For the distance to the lowest polymorph of the same formula, the calculation gives 0 meV per atom. The value obtained for the density is 3.9 g/cm3.

# 2
# MgScTcTe

An optimized crystal structure of MgScTcTe (PBE-GGA, OQMD).

Unit cell a=4.7189 b=4.7189 c=4.7189 alpha=60.00 beta=60.00 gamma=60.00
Positions (direct):
1 Mg 0.0000 0.0000 0.0000
2 Sc 0.2500 0.2500 0.2500
3 Tc 0.7500 0.7500 0.7500
4 Te 0.5000 0.5000 0.5000

As for the crystal system: cubic. The calculation puts the calculated total energy at -5.386 eV per atom. For the distance to the lowest polymorph of the same formula, the calculation gives 0 meV per atom. The value obtained for the density is 6.6 g/cm3.

# 3
# MgScTcTe

An optimized crystal structure of MgScTcTe (PBE-GGA, OQMD).

Unit cell a=4.6938 b=4.6938 c=4.6938 alpha=60.00 beta=60.00 gamma=60.00
Positions (direct):
1 Mg 0.0000 0.0000 0.0000
2 Sc 0.7500 0.7500 0.7500
3 Tc 0.5000 0.5000 0.5000
4 Te 0.2500 0.2500 0.2500

As for the crystal system: cubic. The calculation puts the calculated total energy at -5.368 eV per atom. For the distance to the lowest polymorph of the same formula, the calculation gives 18 meV per atom. The value obtained for the density is 6.7 g/cm3.

# 4
# ThMgSc

An optimized crystal structure of ThMgSc (PBE-GGA, OQMD).

Unit cell a=5.0803 b=5.0803 c=5.0803 alpha=60.00 beta=60.00 gamma=60.00
Positions (direct):
1 Th 0.0000 0.0000 0.0000
2 Mg 0.7500 0.7500 0.7500
3 Sc 0.5000 0.5000 0.5000

As for the crystal system: cubic. The calculation puts the calculated total energy at -4.511 eV per atom. For the distance to the lowest polymorph of the same formula, the calculation gives 0 meV per atom. The value obtained for the density is 5.4 g/cm3.

# 5
# TmMgSc

An optimized crystal structure of TmMgSc (PBE-GGA, OQMD).

Unit cell a=5.0659 b=5.0659 c=5.0659 alpha=60.00 beta=60.00 gamma=60.00
Positions (direct):
1 Tm 0.0000 0.0000 0.0000
2 Mg 0.7500 0.7500 0.7500
3 Sc 0.2500 0.2500 0.2500

As for the crystal system: cubic. The calculation puts the calculated total energy at -3.328 eV per atom. For the distance to the lowest polymorph of the same formula, the calculation gives 814 meV per atom. The value obtained for the density is 4.3 g/cm3.

# 6
# TmMgSc

An optimized crystal structure of TmMgSc (PBE-GGA, OQMD).

Unit cell a=5.0141 b=5.0141 c=5.0141 alpha=60.00 beta=60.00 gamma=60.00
Positions (direct):
1 Tm 0.0000 0.0000 0.0000
2 Mg 0.7500 0.7500 0.7500
3 Sc 0.5000 0.5000 0.5000

As for the crystal system: cubic. The calculation puts the calculated total energy at -3.616 eV per atom. For the distance to the lowest polymorph of the same formula, the calculation gives 525 meV per atom. The value obtained for the density is 4.4 g/cm3.